P | A plane-wave DFT calculation with PBE was carried out for a relaxed structure of Na2TaNi.

ρ	5.56	g cm⁻³
calculated volume	21.312	A^3/atom
symmetry	No. 122

a b c (Å): 8.3299 8.3299 6.3821
angles (deg): 49.26 49.26 90.00
With the nearest neighbours (Å) after each atom.
Fractional positions:
1 Na 0.5694 0.1250 0.2500  2 Na 2.63, 2 Ni 2.71
2 Ni 0.5000 0.5000 0.0000  2 Ta 2.46, 4 Na 2.71
3 Ta 0.7500 0.2500 0.5000  2 Ni 2.46
4 Na 0.3750 0.4306 0.7500  2 Na 2.63, 2 Ni 2.71
5 Na 0.8750 0.8194 0.7500  2 Na 2.63, 2 Ni 2.71
6 Na 0.1806 0.6250 0.2500  2 Na 2.63, 2 Ni 2.71
7 Ta 0.0000 0.0000 0.0000  2 Ni 2.46
8 Ni 0.2500 0.7500 0.5000  2 Ta 2.46, 4 Na 2.71


Q | A plane-wave DFT calculation with PBE was carried out for a relaxed structure of Na2TaNi.

ρ	6.36	g cm⁻³
calculated volume	18.651	A^3/atom
symmetry	No. 225

a b c (Å): 4.7252 4.7252 4.7252
angles (deg): 60.00 60.00 60.00
With the nearest neighbours (Å) after each atom.
Fractional positions:
1 Ta 0.5000 0.5000 0.5000  8 Na 2.89
2 Ni 0.0000 0.0000 0.0000  8 Na 2.89
3 Na 0.2500 0.2500 0.2500  4 Ta 2.89, 4 Ni 2.89
4 Na 0.7500 0.7500 0.7500  4 Ta 2.89, 4 Ni 2.89


Of them, the most stable is P and the least stable is Q.


P | A plane-wave DFT calculation with PBE was carried out for a relaxed structure of NaTa3Ni.

ρ	10.64	g cm⁻³
calculated volume	19.489	A^3/atom
symmetry	No. 221

a b c (Å): 4.6017 4.6017 4.6017
angles (deg): 90.00 90.00 90.00
With the nearest neighbours (Å) after each atom.
Fractional positions:
1 Ta 0.0000 0.0000 0.5000  2 Na 2.30
2 Ta 0.5000 0.0000 0.0000  2 Na 2.30
3 Na 0.0000 0.0000 0.0000  6 Ta 2.30
4 Ta 0.0000 0.5000 0.0000  2 Na 2.30
5 Ni 0.5000 0.5000 0.5000  12 Ta 3.25


Q | A plane-wave DFT calculation with PBE was carried out for a relaxed structure of NaTa3Ni.

ρ	9.98	g cm⁻³
calculated volume	20.783	A^3/atom
symmetry	No. 221

a b c (Å): 4.7014 4.7014 4.7014
angles (deg): 90.00 90.00 90.00
With the nearest neighbours (Å) after each atom.
Fractional positions:
1 Ni 0.0000 0.0000 0.0000  6 Ta 2.35
2 Ta 0.0000 0.5000 0.0000  2 Ni 2.35
3 Na 0.5000 0.5000 0.5000  12 Ta 3.32
4 Ta 0.0000 0.0000 0.5000  2 Ni 2.35
5 Ta 0.5000 0.0000 0.0000  2 Ni 2.35


Of them, the most stable is Q and the least stable is P.


P | A plane-wave DFT calculation with PBE was carried out for a relaxed structure of Na2TcNi.

ρ	4.52	g cm⁻³
calculated volume	18.626	A^3/atom
symmetry	No. 225

a b c (Å): 4.7232 4.7232 4.7232
angles (deg): 60.00 60.00 60.00
With the nearest neighbours (Å) after each atom.
Fractional positions:
1 Na 0.7500 0.7500 0.7500  4 Ni 2.89, 4 Tc 2.89
2 Tc 0.5000 0.5000 0.5000  8 Na 2.89
3 Ni 0.0000 0.0000 0.0000  8 Na 2.89
4 Na 0.2500 0.2500 0.2500  4 Tc 2.89, 4 Ni 2.89


Q | A plane-wave DFT calculation with PBE was carried out for a relaxed structure of Na2TcNi.

ρ	3.09	g cm⁻³
calculated volume	27.214	A^3/atom
symmetry	No. 122

a b c (Å): 9.8125 9.8125 7.2976
angles (deg): 47.75 47.75 90.00
With the nearest neighbours (Å) after each atom.
Fractional positions:
1 Na 0.4958 0.1250 0.2500  2 Ni 2.78
2 Na 0.2542 0.6250 0.2500  2 Ni 2.78
3 Na 0.3750 0.5042 0.7500  2 Ni 2.78
4 Na 0.8750 0.7458 0.7500  2 Ni 2.78
5 Tc 0.7500 0.2500 0.5000  2 Ni 2.26
6 Ni 0.5000 0.5000 0.0000  2 Tc 2.26
7 Ni 0.2500 0.7500 0.5000  2 Tc 2.26
8 Tc 0.0000 0.0000 0.0000  2 Ni 2.26


Of them, the most stable is Q and the least stable is P.


P | A plane-wave DFT calculation with PBE was carried out for a relaxed structure of NaNiTe3.

ρ	5.64	g cm⁻³
calculated volume	27.332	A^3/atom
symmetry	No. 221

a b c (Å): 5.1508 5.1508 5.1508
angles (deg): 90.00 90.00 90.00
With the nearest neighbours (Å) after each atom.
Fractional positions:
1 Te 0.5000 0.0000 0.0000  2 Ni 2.58
2 Ni 0.0000 0.0000 0.0000  6 Te 2.58
3 Te 0.0000 0.0000 0.5000  2 Ni 2.58
4 Na 0.5000 0.5000 0.5000  12 Te 3.64
5 Te 0.0000 0.5000 0.0000  2 Ni 2.58


Q | A plane-wave DFT calculation with PBE was carried out for a relaxed structure of NaNiTe3.

ρ	5.00	g cm⁻³
calculated volume	30.823	A^3/atom
symmetry	No. 221

a b c (Å): 5.3615 5.3615 5.3615
angles (deg): 90.00 90.00 90.00
With the nearest neighbours (Å) after each atom.
Fractional positions:
1 Ni 0.5000 0.5000 0.5000  12 Te 3.79
2 Te 0.0000 0.0000 0.5000  2 Na 2.68
3 Na 0.0000 0.0000 0.0000  6 Te 2.68
4 Te 0.0000 0.5000 0.0000  2 Na 2.68
5 Te 0.5000 0.0000 0.0000  2 Na 2.68


Of them, the most stable is P and the least stable is Q.


P | A plane-wave DFT calculation with PBE was carried out for a relaxed structure of Na2Ni2Te.

ρ	5.13	g cm⁻³
calculated volume	18.839	A^3/atom
symmetry	No. 127

a b c (Å): 7.8398 7.8398 3.0652
angles (deg): 90.00 90.00 90.00
With the nearest neighbours (Å) after each atom.
Fractional positions:
1 Ni 0.6827 0.8173 0.5000  6 Na 2.67-2.87
2 Na 0.1199 0.3801 0.0000  1 Na 2.66, 6 Ni 2.67-2.87
3 Na 0.3801 0.8801 0.0000  1 Na 2.66, 6 Ni 2.67-2.87
4 Ni 0.3173 0.1827 0.5000  6 Na 2.67-2.87
5 Ni 0.1827 0.6827 0.5000  6 Na 2.67-2.87
6 Na 0.8801 0.6199 0.0000  1 Na 2.66, 6 Ni 2.67-2.87
7 Te 0.5000 0.5000 0.0000  2 Te 3.07, 4 Na 3.12, 8 Ni 3.25
8 Na 0.6199 0.1199 0.0000  1 Na 2.66, 6 Ni 2.67-2.87
9 Te 0.0000 0.0000 0.0000  2 Te 3.07, 4 Na 3.12, 8 Ni 3.25
10 Ni 0.8173 0.3173 0.5000  6 Na 2.67-2.87


Q | A plane-wave DFT calculation with PBE was carried out for a relaxed structure of Na2Ni2Te.

ρ	4.85	g cm⁻³
calculated volume	19.943	A^3/atom
symmetry	No. 127

a b c (Å): 6.4463 6.4463 4.7992
angles (deg): 90.00 90.00 90.00
With the nearest neighbours (Å) after each atom.
Fractional positions:
1 Na 0.1718 0.6718 0.5000  6 Ni 2.99-3.11, 1 Na 3.13
2 Ni 0.6319 0.1319 0.0000  1 Ni 2.41, 2 Te 2.52
3 Te 0.5000 0.5000 0.0000  4 Ni 2.52
4 Na 0.6718 0.8282 0.5000  6 Ni 2.99-3.11, 1 Na 3.13
5 Ni 0.3681 0.8681 0.0000  1 Ni 2.41, 2 Te 2.52
6 Ni 0.1319 0.3681 0.0000  1 Ni 2.41, 2 Te 2.52
7 Na 0.3282 0.1718 0.5000  6 Ni 2.99-3.11, 1 Na 3.13
8 Te 0.0000 0.0000 0.0000  4 Ni 2.52
9 Na 0.8282 0.3282 0.5000  6 Ni 2.99-3.11, 1 Na 3.13
10 Ni 0.8681 0.6319 0.0000  1 Ni 2.41, 2 Te 2.52


Of them, the most stable is Q and the least stable is P.


P | A plane-wave DFT calculation with PBE was carried out for a relaxed structure of NaTi2Ni2.

ρ	5.08	g cm⁻³
calculated volume	15.435	A^3/atom
symmetry	No. 127

a b c (Å): 7.4990 7.4990 2.7448
angles (deg): 90.00 90.00 90.00
With the nearest neighbours (Å) after each atom.
Fractional positions:
1 Ti 0.1544 0.6544 0.5000  6 Ni 2.56-2.65, 2 Ti 2.74
2 Ni 0.6322 0.1322 0.0000  6 Ti 2.56-2.65, 3 Ni 2.74-2.80
3 Ti 0.8456 0.3456 0.5000  6 Ni 2.56-2.65, 2 Ti 2.74
4 Na 0.5000 0.5000 0.0000  2 Na 2.74, 4 Ni 2.93
5 Ni 0.1322 0.3678 0.0000  6 Ti 2.56-2.65, 3 Ni 2.74-2.80
6 Ni 0.8678 0.6322 0.0000  6 Ti 2.56-2.65, 3 Ni 2.74-2.80
7 Ti 0.3456 0.1544 0.5000  6 Ni 2.56-2.65, 2 Ti 2.74
8 Ti 0.6544 0.8456 0.5000  6 Ni 2.56-2.65, 2 Ti 2.74
9 Na 0.0000 0.0000 0.0000  2 Na 2.74, 4 Ni 2.93
10 Ni 0.3678 0.8678 0.0000  6 Ti 2.56-2.65, 3 Ni 2.74-2.80


Q | A plane-wave DFT calculation with PBE was carried out for a relaxed structure of NaTi2Ni2.

ρ	5.09	g cm⁻³
calculated volume	15.413	A^3/atom
symmetry	No. 127

a b c (Å): 7.5963 7.5963 2.6711
angles (deg): 90.00 90.00 90.00
With the nearest neighbours (Å) after each atom.
Fractional positions:
1 Na 0.0000 0.0000 0.0000  2 Na 2.67, 4 Ti 2.91
2 Ti 0.8539 0.6461 0.0000  6 Ni 2.57-2.63, 2 Ti 2.67
3 Ni 0.1430 0.6430 0.5000  6 Ti 2.57-2.63, 2 Ni 2.67
4 Ti 0.1461 0.3539 0.0000  6 Ni 2.57-2.63, 2 Ti 2.67
5 Ti 0.3539 0.8539 0.0000  6 Ni 2.57-2.63, 2 Ti 2.67
6 Ni 0.3570 0.1430 0.5000  6 Ti 2.57-2.63, 2 Ni 2.67
7 Ni 0.6430 0.8570 0.5000  6 Ti 2.57-2.63, 2 Ni 2.67
8 Ni 0.8570 0.3570 0.5000  6 Ti 2.57-2.63, 2 Ni 2.67
9 Ti 0.6461 0.1461 0.0000  6 Ni 2.57-2.63, 2 Ti 2.67
10 Na 0.5000 0.5000 0.0000  2 Na 2.67, 4 Ti 2.91


Of them, the most stable is P and the least stable is Q.